1.
The following is a DFT calculation (meta-GGA SCAN) of a PBEsol-optimized structure of TaOs2.

Unit cell a=5.2268 b=5.2268 c=6.6837 alpha=106.50 beta=106.50 gamma=31.45
Positions (direct):
Ta  0.1764  0.1764  0.1466
Ta  0.8236  0.8236  0.8534
Os  0.1376  0.1376  0.5272
Os  0.4596  0.4596  0.2028
Os  0.5404  0.5404  0.7972
Os  0.8624  0.8624  0.4728

Results
Calculated formation energy: -0.48 eV/f.u.
Total magnetization: 0.000 μB per atom

***

2.
The following is a DFT calculation (meta-GGA SCAN) of a PBEsol-optimized structure of Ta2Os.

Unit cell a=9.8474 b=9.8474 c=5.0740 alpha=90.00 beta=90.00 gamma=90.00
Positions (direct):
Ta  0.0361  0.3705  0.0000
Ta  0.1027  0.1027  0.0000
Ta  0.1295  0.5361  0.5000
Ta  0.1812  0.8188  0.2498
Ta  0.1812  0.8188  0.7502
Ta  0.3188  0.3188  0.2502
Ta  0.3188  0.3188  0.7498
Ta  0.3705  0.0361  0.0000
Ta  0.3973  0.6027  0.5000
Ta  0.4639  0.8705  0.5000
Ta  0.5361  0.1295  0.5000
Ta  0.6027  0.3973  0.5000
Ta  0.6295  0.9639  0.0000
Ta  0.6812  0.6812  0.2502
Ta  0.6812  0.6812  0.7498
Ta  0.8188  0.1812  0.2498
Ta  0.8188  0.1812  0.7502
Ta  0.8705  0.4639  0.5000
Ta  0.8973  0.8973  0.0000
Ta  0.9639  0.6295  0.0000
Os  0.0000  0.0000  0.5000
Os  0.0678  0.2586  0.5000
Os  0.2414  0.5678  0.0000
Os  0.2586  0.0678  0.5000
Os  0.4322  0.7586  0.0000
Os  0.5000  0.5000  0.0000
Os  0.5678  0.2414  0.0000
Os  0.7414  0.9322  0.5000
Os  0.7586  0.4322  0.0000
Os  0.9322  0.7414  0.5000

Results
Calculated formation energy: -1.25 eV/f.u.
Total magnetization: 0.000 μB per atom

***

3.
The following is a DFT calculation (meta-GGA SCAN) of a PBEsol-optimized structure of Ta2Os.

Unit cell a=5.2981 b=5.2981 c=6.4411 alpha=108.77 beta=108.77 gamma=35.13
Positions (direct):
Ta  0.0037  0.0037  0.2580
Ta  0.3293  0.3293  0.9088
Ta  0.6707  0.6707  0.0912
Ta  0.9963  0.9963  0.7420
Os  0.3380  0.3380  0.4086
Os  0.6620  0.6620  0.5914

Results
Calculated formation energy: -0.82 eV/f.u.
Total magnetization: 0.000 μB per atom

***

4.
The following is a DFT calculation (meta-GGA SCAN) of a PBEsol-optimized structure of TaOs2.

Unit cell a=5.4792 b=3.9361 c=8.4239 alpha=90.00 beta=90.00 gamma=90.00
Positions (direct):
Ta  0.1294  0.2500  0.1003
Ta  0.3706  0.7500  0.6003
Ta  0.6294  0.2500  0.3997
Ta  0.8706  0.7500  0.8997
Os  0.1225  0.2500  0.4239
Os  0.1232  0.2500  0.7418
Os  0.3768  0.7500  0.2418
Os  0.3775  0.7500  0.9239
Os  0.6225  0.2500  0.0761
Os  0.6232  0.2500  0.7582
Os  0.8768  0.7500  0.2582
Os  0.8775  0.7500  0.5761

Results
Calculated formation energy: -0.78 eV/f.u.
Total magnetization: 0.000 μB per atom

***

5.
The following is a DFT calculation (meta-GGA SCAN) of a PBEsol-optimized structure of TaOs7.

Unit cell a=5.4532 b=5.4532 c=5.4532 alpha=60.00 beta=60.00 gamma=60.00
Positions (direct):
Ta  0.0000  0.0000  0.0000
Os  0.0000  0.0000  0.5000
Os  0.0000  0.5000  0.0000
Os  0.0000  0.5000  0.5000
Os  0.5000  0.0000  0.0000
Os  0.5000  0.0000  0.5000
Os  0.5000  0.5000  0.0000
Os  0.5000  0.5000  0.5000

Results
Calculated formation energy: -0.13 eV/f.u.
Total magnetization: 0.000 μB per atom

***

6.
The following is a DFT calculation (meta-GGA SCAN) of a PBEsol-optimized structure of Ta4Os.

Unit cell a=5.3678 b=5.3678 c=5.3678 alpha=95.05 beta=95.05 gamma=145.49
Positions (direct):
Ta  0.0973  0.7048  0.8021
Ta  0.2952  0.0973  0.3925
Ta  0.7048  0.9027  0.6075
Ta  0.9027  0.2952  0.1979
Os  0.5000  0.5000  0.0000

Results
Calculated formation energy: -1.51 eV/f.u.
Total magnetization: 0.000 μB per atom

***

What is the calculated formation energy in the fifth record? -0.13 eV/f.u.